Computed, not measured: a relaxed Cs3Mn2Br3F4 crystal at the PBE+U level of DFT.

Output
Spin magnetization in μB per atom: 0.833
Total DFT energy (no corrections) in eV/atom: -4.590

```
data_Cs3Mn2Br3F4
_chemical_formula_sum 'Cs6 Mn4 Br6 F8'
_cell_length_a 4.325
_cell_length_b 5.469
_cell_length_c 27.150
_cell_angle_alpha 90.00
_cell_angle_beta 90.00
_cell_angle_gamma 90.00
_space_group_name_H-M_alt 'I m m m'
_space_group_IT_number 71
_space_group_name_Hall '-I 2 2'
loop_
_atom_site_label
_atom_site_type_symbol
_atom_site_fract_x
_atom_site_fract_y
_atom_site_fract_z
Cs1 Cs 0.000 0.000 0.000
Cs2 Cs 0.000 0.000 0.200
Mn1 Mn 0.000 0.000 0.386
Br1 Br 0.000 0.000 0.500
Br2 Br 0.000 0.500 0.397
F1 F 0.000 0.000 0.309
F2 F 0.000 0.500 0.115
```